[1]
A relaxed structure of ZnGaMoIr. Source: Alexandria via LeMat-Bulk, functional PBE.

Unit cell a=4.4820 b=2.8292 c=4.6961 alpha=90.00 beta=90.00 gamma=90.00
Fractional positions:
Mo1 0.5000 0.0000 0.2377
Ir1 0.0000 0.5000 0.4112
Zn1 0.0000 0.0000 0.9019
Ga1 0.5000 0.5000 0.7480

Output
As for the space group: Pmm2. Its energy relative to the elements is -0.12 eV per atom. The value obtained for the total energy is -6.122 eV per atom. For the total magnetization, the calculation gives 0.0 Bohr magnetons per cell.

---

[2]
A relaxed structure of BaPmPu2O8. Source: Alexandria via LeMat-Bulk, functional PBE.

Unit cell a=5.6125 b=5.6125 c=6.6692 alpha=114.88 beta=114.88 gamma=90.00
Last column: magnetic moment on the atom in μB.
Fractional positions:
Ba1 0.7500 0.2500 0.5000  -0.02
Pm1 0.0000 0.0000 0.0000  0.00
Pu1 0.5000 0.5000 0.0000  3.48
Pu2 0.2500 0.7500 0.5000  3.17
O1 0.8834 0.8350 0.2410  -0.18
O2 0.3576 0.4060 0.2410  -0.18
O3 0.5941 0.6428 0.7584  -0.18
O4 0.1643 0.1156 0.7584  -0.18
O5 0.8844 0.4059 0.2416  -0.18
O6 0.3572 0.8357 0.2416  -0.18
O7 0.1650 0.6424 0.7590  -0.18
O8 0.5940 0.1166 0.7590  -0.18

Output
As for the space group: I-4m2. The formation energy without anion corrections comes out at -2731 meV/atom. The value obtained for the total energy is -8.981 eV per atom. For the total magnetization, the calculation gives 5.0 Bohr magnetons per cell.

---

[3]
A relaxed structure of NaLa2Pd2. Source: Alexandria via LeMat-Bulk, functional PBE.

Unit cell a=8.6747 b=8.6747 c=3.5253 alpha=90.00 beta=90.00 gamma=90.00
Fractional positions:
Na1 0.0000 0.0000 0.0000
Na2 0.5000 0.5000 0.0000
Pd1 0.1459 0.6459 0.5000
Pd2 0.6459 0.8541 0.5000
Pd3 0.8541 0.3541 0.5000
Pd4 0.3541 0.1459 0.5000
La1 0.3528 0.8528 0.0000
La2 0.8528 0.6472 0.0000
La3 0.6472 0.1472 0.0000
La4 0.1472 0.3528 0.0000

Output
As for the space group: P4/mbm. Its energy relative to the elements is -0.44 eV per atom. The value obtained for the total energy is -4.752 eV per atom. For the total magnetization, the calculation gives 0.0 Bohr magnetons per cell.

---

[4]
A relaxed structure of Rb3Cd2InF9. Source: Alexandria via LeMat-Bulk, functional PBE.

Unit cell a=6.4013 b=6.4013 c=7.8437 alpha=90.00 beta=90.00 gamma=120.00
Fractional positions:
Rb1 0.3333 0.6667 0.6785
Rb2 0.0000 0.0000 0.0000
Rb3 0.6667 0.3333 0.3215
Cd1 0.3333 0.6667 0.1680
Cd2 0.6667 0.3333 0.8320
In1 0.0000 0.0000 0.5000
F1 0.8365 0.1635 0.6628
F2 0.8365 0.6729 0.6628
F3 0.3271 0.1635 0.6628
F4 0.6729 0.8365 0.3372
F5 0.1635 0.3271 0.3372
F6 0.1635 0.8365 0.3372
F7 0.5000 0.0000 0.0000
F8 0.0000 0.5000 0.0000
F9 0.5000 0.5000 0.0000

Output
As for the space group: P-3m1. The formation energy without anion corrections comes out at -2435 meV/atom. The value obtained for the total energy is -4.055 eV per atom. For the total magnetization, the calculation gives 0.0 Bohr magnetons per cell.

---

[5]
A relaxed structure of NaCaDyF6. Source: Alexandria via LeMat-Bulk, functional PBE.

Unit cell a=6.0109 b=6.0109 c=9.3389 alpha=90.00 beta=90.00 gamma=120.00
Fractional positions:
Na1 0.0000 0.0000 0.0000
Na2 0.0000 0.0000 0.5000
Ca1 0.6667 0.3333 0.2500
Ca2 0.3333 0.6667 0.7500
Dy1 0.3333 0.6667 0.2500
Dy2 0.6667 0.3333 0.7500
F1 0.6440 0.6543 0.1325
F2 0.0103 0.3560 0.1325
F3 0.3560 0.0103 0.6325
F4 0.9897 0.6440 0.8675
F5 0.3457 0.3560 0.3675
F6 0.0103 0.6543 0.3675
F7 0.6543 0.0103 0.8675
F8 0.6440 0.9897 0.3675
F9 0.9897 0.3457 0.6325
F10 0.3457 0.9897 0.1325
F11 0.6543 0.6440 0.6325
F12 0.3560 0.3457 0.8675

Output
As for the space group: P-31c. The formation energy without anion corrections comes out at -3698 meV/atom. The value obtained for the total energy is -5.826 eV per atom. For the total magnetization, the calculation gives 0.0 Bohr magnetons per cell.

---

[6]
A relaxed structure of TmInO2. Source: Alexandria via LeMat-Bulk, functional PBE.

Unit cell a=3.3873 b=3.3873 c=7.0493 alpha=76.10 beta=76.10 gamma=60.00
Fractional positions:
Tm1 0.5000 0.5000 0.5000
O1 0.1126 0.1126 0.6622
O2 0.8874 0.8874 0.3378
In1 0.0000 0.0000 0.0000

Output
As for the space group: R-3m. The formation energy without anion corrections comes out at -2465 meV/atom. The value obtained for the total energy is -6.746 eV per atom. For the total magnetization, the calculation gives 0.0 Bohr magnetons per cell.

---

[7]
A relaxed structure of Rb2MnAuCl6. Source: Alexandria via LeMat-Bulk, functional PBE.

Unit cell a=7.7001 b=7.7001 c=7.0937 alpha=57.13 beta=57.13 gamma=90.00
Last column: magnetic moment on the atom in μB.
Fractional positions:
Mn1 0.5000 0.5000 0.0000  3.74
Au1 0.0000 0.0000 0.0000  -0.04
Rb1 0.7500 0.2500 0.5000  0.00
Rb2 0.2500 0.7500 0.5000  0.00
Cl1 0.2475 0.2475 0.5051  0.04
Cl2 0.7525 0.7525 0.4949  0.04
Cl3 0.2800 0.2800 0.0000  -0.02
Cl4 0.7200 0.7200 0.0000  -0.02
Cl5 0.7200 0.2800 0.0000  -0.01
Cl6 0.2800 0.7200 0.0000  -0.01

Output
As for the space group: I4/mmm. The formation energy without anion corrections comes out at -1169 meV/atom. The value obtained for the total energy is -3.715 eV per atom. For the total magnetization, the calculation gives 4.0 Bohr magnetons per cell.

---

[8]
A relaxed structure of MnTc2Ag. Source: Alexandria via LeMat-Bulk, functional PBE.

Unit cell a=9.2781 b=9.2781 c=9.2781 alpha=17.26 beta=17.26 gamma=17.26
Last column: magnetic moment on the atom in μB.
Fractional positions:
Ag1 0.4985 0.4985 0.4985  0.01
Mn1 0.7464 0.7464 0.7464  3.46
Tc1 0.9985 0.9985 0.9985  0.05
Tc2 0.2567 0.2567 0.2567  0.10

Output
As for the space group: R3m. Its energy relative to the elements is 0.25 eV per atom. The value obtained for the total energy is -7.943 eV per atom. For the total magnetization, the calculation gives 3.8 Bohr magnetons per cell.

---

[9]
A relaxed structure of CdCuOs2. Source: Alexandria via LeMat-Bulk, functional PBE.

Unit cell a=4.5909 b=4.5909 c=4.5909 alpha=126.65 beta=126.65 gamma=78.82
Fractional positions:
Cd1 0.5000 0.5000 0.0000
Cu1 0.7500 0.2500 0.5000
Os1 0.0000 0.0000 0.0000
Os2 0.2500 0.7500 0.5000

Output
As for the space group: I-4m2. Its energy relative to the elements is 0.60 eV per atom. The value obtained for the total energy is -6.267 eV per atom. For the total magnetization, the calculation gives 0.0 Bohr magnetons per cell.

---

[10]
A relaxed structure of Be3BiW. Source: Alexandria via LeMat-Bulk, functional PBE.

Unit cell a=4.4553 b=4.4553 c=4.4553 alpha=90.00 beta=90.00 gamma=90.00
Fractional positions:
Be1 0.0000 0.5000 0.0000
Be2 0.0000 0.0000 0.5000
Be3 0.5000 0.0000 0.0000
Bi1 0.5000 0.5000 0.5000
W1 0.0000 0.0000 0.0000

Output
As for the space group: Pm-3m. Its energy relative to the elements is 1.16 eV per atom. The value obtained for the total energy is -4.444 eV per atom. For the total magnetization, the calculation gives 0.0 Bohr magnetons per cell.

---

[11]
A relaxed structure of ZrSi2Ag. Source: Alexandria via LeMat-Bulk, functional PBE.

Unit cell a=3.3551 b=3.3551 c=6.5078 alpha=90.00 beta=90.00 gamma=103.76
Fractional positions:
Ag1 0.5000 0.5000 0.7500
Si1 0.0000 0.0000 0.9818
Si2 0.0000 0.0000 0.5182
Zr1 0.5000 0.5000 0.2500

Output
As for the space group: Cmmm. The formation energy without anion corrections comes out at -67 meV/atom. The value obtained for the total energy is -5.629 eV per atom. For the total magnetization, the calculation gives 0.0 Bohr magnetons per cell.

---

[12]
A relaxed structure of Sc2AlN. Source: Alexandria via LeMat-Bulk, functional PBE.

Unit cell a=8.3284 b=8.3284 c=8.3284 alpha=22.15 beta=22.15 gamma=22.15
Fractional positions:
Sc1 0.8821 0.8821 0.8821
Sc2 0.1179 0.1179 0.1179
Al1 0.0000 0.0000 0.0000
N1 0.5000 0.5000 0.5000

Output
As for the space group: R-3m. The formation energy without anion corrections comes out at -778 meV/atom. The value obtained for the total energy is -6.961 eV per atom. For the total magnetization, the calculation gives 0.0 Bohr magnetons per cell.

---

Q: Which of these has the highest total magnetization?
A: BaPmPu2O8